(1)
Density functional theory data (PBE) for a relaxed HfTeH2 crystal.

## Properties
Raw total energy ... -0.403 Ry per atom
Space-group type ... R3m
Offset from the most stable computed form ... 0 meV/atom
Total magnetic moment ... 0.000 μB per formula unit

a b c (Å): 3.5728 3.5728 5.3901
angles (deg): 70.65 70.65 60.00
With the nearest neighbours (Å) after each atom.
Fractional positions:
Hf  0.6905  0.6905  0.9283  6 H 2.08-2.18
Te  0.4911  0.4911  0.5262  4 H 2.71-3.04, 4 Hf 2.87-2.98
H  0.0086  0.0086  0.9744  3 Hf 2.08, 3 H 2.12
H  0.3098  0.3098  0.0712  3 H 2.12, 3 Hf 2.18

(2)
Density functional theory data (PBE) for a relaxed HfV2TeH crystal.

## Properties
Raw total energy ... -0.501 Ry per atom
DOS at the Fermi energy ... 3.7 states/eV per cell
Space-group type ... P4/mmm
Total magnetic moment ... 0.000 μB per formula unit

a b c (Å): 3.9286 4.7610 3.9286
angles (deg): 90.00 90.00 90.00
With the nearest neighbours (Å) after each atom.
Fractional positions:
H  0.0000  0.0000  0.0000  4 V 1.96
Te  0.0000  0.5000  0.0000  2 H 2.38
Hf  0.5000  0.5000  0.5000  4 Te 2.78, 8 V 3.09
V  0.0000  0.0000  0.5000  2 H 1.96
V  0.5000  0.0000  0.0000  2 H 1.96

(3)
Density functional theory data (PBE) for a relaxed Hf2ThH crystal.

## Properties
Raw total energy ... -0.537 Ry per atom
DOS at the Fermi energy ... 4.0 states/eV per cell
Space-group type ... P4/mmm
Offset from the most stable computed form ... 218 meV/atom
Total magnetic moment ... 0.000 μB per formula unit

a b c (Å): 3.1217 3.1217 8.0911
angles (deg): 90.00 90.00 90.00
With the nearest neighbours (Å) after each atom.
Fractional positions:
H  0.5000  0.5000  0.0000  8 Hf 2.64
Hf  0.0000  0.0000  0.8206  4 H 2.64, 1 Hf 2.90
Hf  0.0000  0.0000  0.1794  4 H 2.64, 1 Hf 2.90
Th  0.5000  0.5000  0.5000  4 Th 3.12, 8 Hf 3.41

(4)
Density functional theory data (PBE) for a relaxed Hf2ThH crystal.

## Properties
Raw total energy ... -0.553 Ry per atom
DOS at the Fermi energy ... 4.8 states/eV per cell
Space-group type ... R-3m
Offset from the most stable computed form ... 0 meV/atom
Total magnetic moment ... 0.001 μB per formula unit

a b c (Å): 3.2304 3.2304 8.9029
angles (deg): 79.55 79.55 60.00
With the nearest neighbours (Å) after each atom.
Fractional positions:
H  0.5000  0.5000  0.5000  6 Hf 2.25
Hf  0.1183  0.1183  0.6451  3 H 2.25
Hf  0.8817  0.8817  0.3549  3 H 2.25
Th  0.0000  0.0000  0.0000  2 Hf 3.09, 6 Th 3.23

(5)
Density functional theory data (PBE) for a relaxed HfTh2H8 crystal.

## Properties
Raw total energy ... -0.376 Ry per atom
DOS at the Fermi energy ... 2.2 states/eV per cell
Space-group type ... Immm
Total magnetic moment ... 0.000 μB per formula unit

a b c (Å): 3.6561 4.7799 7.0516
angles (deg): 109.81 105.02 90.00
With the nearest neighbours (Å) after each atom.
Fractional positions:
Hf  0.5000  0.0000  0.0000  8 H 2.01-2.11
Th  0.1561  0.6561  0.3122  9 H 2.29-2.57
Th  0.8439  0.3439  0.6878  9 H 2.29-2.57
H  0.6353  0.9185  0.2705  1 Hf 2.01, 2 H 2.07-2.20
H  0.3647  0.6480  0.7295  1 Hf 2.01, 2 H 2.07-2.20
H  0.2292  0.2292  0.4583  6 H 2.20-2.42, 2 Th 2.34
H  0.0000  0.2224  0.0000  2 Hf 2.11, 1 H 2.13
H  0.7708  0.7708  0.5417  6 H 2.20-2.42, 2 Th 2.34
H  0.6353  0.3520  0.2705  1 Hf 2.01, 2 H 2.07-2.20
H  0.3647  0.0815  0.7295  1 Hf 2.01, 2 H 2.07-2.20
H  0.0000  0.7776  0.0000  2 Hf 2.11, 1 H 2.13

(6)
Density functional theory data (PBE) for a relaxed Hf2ThH8 crystal.

## Properties
Raw total energy ... -0.389 Ry per atom
DOS at the Fermi energy ... 4.3 states/eV per cell
Space-group type ... C2/m
Offset from the most stable computed form ... 3 meV/atom
Total magnetic moment ... 0.000 μB per formula unit

a b c (Å): 3.5333 5.6209 5.6209
angles (deg): 115.23 92.25 92.25
With the nearest neighbours (Å) after each atom.
Fractional positions:
Hf  0.0000  0.3368  0.6632  8 H 1.95-2.08
Hf  0.0000  0.6632  0.3368  8 H 1.95-2.08
Th  0.5000  0.0000  0.0000  12 H 2.35-2.46
H  0.9771  0.9782  0.6891  2 H 2.00-2.22, 2 Hf 2.02-2.08
H  0.9771  0.6891  0.9782  2 H 2.00-2.22, 2 Hf 2.02-2.08
H  0.2858  0.6203  0.6203  2 Hf 1.96, 1 H 2.17
H  0.5000  0.7502  0.2498  2 Hf 1.95
H  0.5000  0.2498  0.7502  2 Hf 1.95
H  0.7142  0.3797  0.3797  2 Hf 1.96, 1 H 2.17
H  0.0229  0.3109  0.0218  2 H 2.00-2.22, 2 Hf 2.02-2.08
H  0.0229  0.0218  0.3109  2 H 2.00-2.22, 2 Hf 2.02-2.08

(7)
Density functional theory data (PBE) for a relaxed Hf2ThH8 crystal.

## Properties
Raw total energy ... -0.389 Ry per atom
DOS at the Fermi energy ... 4.7 states/eV per cell
Space-group type ... P4/mmm
Offset from the most stable computed form ... 0 meV/atom
Total magnetic moment ... 0.020 μB per formula unit

a b c (Å): 4.5824 4.5824 5.5394
angles (deg): 90.00 90.00 90.00
With the nearest neighbours (Å) after each atom.
Fractional positions:
Hf  0.5000  0.0000  0.0000  8 H 2.03
Hf  0.0000  0.5000  0.0000  8 H 2.03
Th  0.5000  0.5000  0.5000  8 H 2.29
H  0.7595  0.7595  0.2194  2 Hf 2.03, 2 H 2.20
H  0.7595  0.2405  0.7806  2 Hf 2.03, 2 H 2.20
H  0.7595  0.7595  0.7806  2 Hf 2.03, 2 H 2.20
H  0.7595  0.2405  0.2194  2 Hf 2.03, 2 H 2.20
H  0.2405  0.7595  0.2194  2 Hf 2.03, 2 H 2.20
H  0.2405  0.7595  0.7806  2 Hf 2.03, 2 H 2.20
H  0.2405  0.2405  0.2194  2 Hf 2.03, 2 H 2.20
H  0.2405  0.2405  0.7806  2 Hf 2.03, 2 H 2.20

(8)
Density functional theory data (PBE) for a relaxed Hf3Th5H12 crystal.

## Properties
Raw total energy ... -0.413 Ry per atom
DOS at the Fermi energy ... 45.5 states/eV per cell
Space-group type ... Ia-3d
Total magnetic moment ... 0.000 μB per formula unit

a b c (Å): 11.1853 11.1853 11.1853
angles (deg): 109.47 109.47 109.47
With the nearest neighbours (Å) after each atom.
Fractional positions:
H  0.7353  0.1708  0.0880  1 H 1.92, 1 Hf 2.12
H  0.3526  0.5880  0.4172  1 H 1.92, 1 Hf 2.12
H  0.9120  0.3292  0.2647  1 H 1.92, 1 Hf 2.12
H  0.5880  0.2353  0.1708  1 H 1.92, 1 Hf 2.12
H  0.5645  0.7353  0.6474  1 H 1.92, 1 Hf 2.12
H  0.9120  0.5828  0.1474  1 H 1.92, 1 Hf 2.12
H  0.3526  0.7647  0.4355  1 H 1.92, 1 Hf 2.12
H  0.0828  0.9355  0.1708  1 H 1.92, 1 Hf 2.12
H  0.5828  0.9120  0.6474  1 H 1.92, 1 Hf 2.12
H  0.7353  0.5645  0.1474  1 H 1.92, 1 Hf 2.12
H  0.7647  0.4120  0.3292  1 H 1.92, 1 Hf 2.12
H  0.8526  0.9172  0.0880  1 H 1.92, 1 Hf 2.12
H  0.1708  0.7353  0.5880  1 H 1.92, 1 Hf 2.12
H  0.3292  0.4172  0.0645  1 H 1.92, 1 Hf 2.12
H  0.0645  0.9172  0.3292  1 H 1.92, 1 Hf 2.12
H  0.4355  0.1708  0.5828  1 H 1.92, 1 Hf 2.12
H  0.0645  0.1474  0.2353  1 H 1.92, 1 Hf 2.12
H  0.4120  0.6474  0.0828  1 H 1.92, 1 Hf 2.12
H  0.8526  0.9355  0.2647  1 H 1.92, 1 Hf 2.12
H  0.1708  0.4355  0.0828  1 H 1.92, 1 Hf 2.12
H  0.3292  0.9120  0.7647  1 H 1.92, 1 Hf 2.12
H  0.5828  0.6708  0.4355  1 H 1.92, 1 Hf 2.12
H  0.9172  0.8526  0.5880  1 H 1.92, 1 Hf 2.12
H  0.7647  0.3526  0.9355  1 H 1.92, 1 Hf 2.12
H  0.4172  0.3292  0.5645  1 H 1.92, 1 Hf 2.12
H  0.0828  0.1474  0.4120  1 H 1.92, 1 Hf 2.12
H  0.2353  0.6474  0.0645  1 H 1.92, 1 Hf 2.12
H  0.1474  0.0645  0.7353  1 H 1.92, 1 Hf 2.12
H  0.6708  0.0880  0.2353  1 H 1.92, 1 Hf 2.12
H  0.8292  0.5645  0.9172  1 H 1.92, 1 Hf 2.12
H  0.5880  0.3526  0.9172  1 H 1.92, 1 Hf 2.12
H  0.5645  0.8292  0.4172  1 H 1.92, 1 Hf 2.12
H  0.9355  0.8526  0.7647  1 H 1.92, 1 Hf 2.12
H  0.9355  0.0828  0.6708  1 H 1.92, 1 Hf 2.12
H  0.8292  0.2647  0.4120  1 H 1.92, 1 Hf 2.12
H  0.1474  0.0828  0.9120  1 H 1.92, 1 Hf 2.12
H  0.6708  0.5828  0.9355  1 H 1.92, 1 Hf 2.12
H  0.4172  0.0880  0.3526  1 H 1.92, 1 Hf 2.12
H  0.2647  0.4355  0.8526  1 H 1.92, 1 Hf 2.12
H  0.2353  0.5880  0.6708  1 H 1.92, 1 Hf 2.12
H  0.9172  0.0645  0.8292  1 H 1.92, 1 Hf 2.12
H  0.6474  0.2353  0.5645  1 H 1.92, 1 Hf 2.12
H  0.4120  0.7647  0.8292  1 H 1.92, 1 Hf 2.12
H  0.0880  0.4172  0.8526  1 H 1.92, 1 Hf 2.12
H  0.4355  0.2647  0.3526  1 H 1.92, 1 Hf 2.12
H  0.0880  0.6708  0.7353  1 H 1.92, 1 Hf 2.12
H  0.6474  0.4120  0.5828  1 H 1.92, 1 Hf 2.12
H  0.2647  0.8292  0.9120  1 H 1.92, 1 Hf 2.12
Hf  0.7500  0.3750  0.1250  8 H 2.12-2.29
Hf  0.8750  0.7500  0.1250  8 H 2.12-2.29
Hf  0.3750  0.7500  0.6250  8 H 2.12-2.29
Hf  0.2500  0.1250  0.3750  8 H 2.12-2.29
Hf  0.8750  0.1250  0.2500  8 H 2.12-2.29
Hf  0.3750  0.6250  0.2500  8 H 2.12-2.29
Hf  0.6250  0.3750  0.7500  8 H 2.12-2.29
Hf  0.1250  0.8750  0.7500  8 H 2.12-2.29
Hf  0.7500  0.8750  0.6250  8 H 2.12-2.29
Hf  0.6250  0.2500  0.3750  8 H 2.12-2.29
Hf  0.1250  0.2500  0.8750  8 H 2.12-2.29
Hf  0.2500  0.6250  0.8750  8 H 2.12-2.29
Th  0.1250  0.3750  0.2500  4 H 2.34
Th  0.0000  0.5000  0.0000  6 H 2.28
Th  0.0000  0.0000  0.0000  6 H 2.28
Th  0.3750  0.2500  0.1250  4 H 2.34
Th  0.5000  0.0000  0.5000  6 H 2.28
Th  0.5000  0.5000  0.0000  6 H 2.28
Th  0.1250  0.7500  0.3750  4 H 2.34
Th  0.7500  0.1250  0.8750  4 H 2.34
Th  0.7500  0.6250  0.3750  4 H 2.34
Th  0.3750  0.1250  0.7500  4 H 2.34
Th  0.6250  0.8750  0.2500  4 H 2.34
Th  0.5000  0.5000  0.5000  6 H 2.28
Th  0.5000  0.0000  0.0000  6 H 2.28
Th  0.0000  0.0000  0.5000  6 H 2.28
Th  0.2500  0.3750  0.6250  4 H 2.34
Th  0.2500  0.8750  0.1250  4 H 2.34
Th  0.0000  0.5000  0.5000  6 H 2.28
Th  0.8750  0.2500  0.6250  4 H 2.34
Th  0.6250  0.7500  0.8750  4 H 2.34
Th  0.8750  0.6250  0.7500  4 H 2.34

(9)
Density functional theory data (PBE) for a relaxed HfTi2H4 crystal.

## Properties
Raw total energy ... -0.443 Ry per atom
DOS at the Fermi energy ... 5.4 states/eV per cell
Space-group type ... I4_1/a
Offset from the most stable computed form ... 25 meV/atom
Total magnetic moment ... 0.000 μB per formula unit

a b c (Å): 5.5769 5.5769 5.6524
angles (deg): 119.56 119.56 90.00
With the nearest neighbours (Å) after each atom.
Fractional positions:
Hf  0.7500  0.2500  0.5000  8 H 2.05-2.07
Hf  0.5000  0.5000  0.0000  8 H 2.05-2.07
Ti  0.1250  0.8750  0.7500  4 H 1.90-1.94
Ti  0.6250  0.8750  0.7500  4 H 1.90-1.94
Ti  0.1250  0.8750  0.2500  4 H 1.90-1.94
Ti  0.1250  0.3750  0.2500  4 H 1.90-1.94
H  0.8555  0.8698  0.3706  2 Ti 1.90-1.94, 2 Hf 2.05-2.07
H  0.1302  0.4849  0.6294  2 Ti 1.90-1.94, 2 Hf 2.05-2.07
H  0.4992  0.1445  0.6294  2 Ti 1.90-1.94, 2 Hf 2.05-2.07
H  0.7349  0.2492  0.1294  2 Ti 1.90-1.94, 2 Hf 2.05-2.07
H  0.7508  0.6055  0.8706  2 Ti 1.90-1.94, 2 Hf 2.05-2.07
H  0.1198  0.2651  0.8706  2 Ti 1.90-1.94, 2 Hf 2.05-2.07
H  0.5151  0.5008  0.3706  2 Ti 1.90-1.94, 2 Hf 2.05-2.07
H  0.3945  0.8802  0.1294  2 Ti 1.90-1.94, 2 Hf 2.05-2.07